Entry from the Alexandria database: an optimized crystal structure of Ho3Tm6Th2 (PBE-GGA). Values from VASP.

Values from the calculation:
ΔE to the lowest computed polymorph (kJ per mole of atoms): 0.0
Energy relative to the elements (eV per atom): 0.023
SG: R-3m (166)

Geometry as Quantum ESPRESSO input:
```
&SYSTEM
  ibrav = 0, nat = 11, ntyp = 3
/
ATOMIC_SPECIES
Ho 164.93 Ho.upf
Tm 168.93 Tm.upf
Th 232.04 Th.upf
CELL_PARAMETERS angstrom
1.7656 1.0194 31.3215
-1.7656 1.0194 31.3215
0.0000 -2.0388 31.3215
ATOMIC_POSITIONS angstrom
Ho 0.0000 0.0000 0.0000
Ho 0.0000 0.0000 25.6291
Ho 0.0000 0.0000 68.3354
Tm 0.0000 0.0000 8.5849
Tm 0.0000 0.0000 17.1177
Tm 0.0000 0.0000 34.1732
Tm 0.0000 0.0000 59.7913
Tm 0.0000 0.0000 76.8468
Tm 0.0000 0.0000 85.3796
Th 0.0000 0.0000 42.7277
Th 0.0000 0.0000 51.2367
```